[1]
VASP calculation (GGA-PBE) on a geometry-optimized Ba6IrS2I3 structure.

a b c (Å): 8.1245 8.1245 8.8249
angles (deg): 98.90 98.90 119.87
Each line ends with the local moment (μB).
Fractional positions:
Ba 0.3864 0.0653 0.1965  0.09
Ba 0.6136 0.9347 0.8035  0.09
Ba 0.2575 0.2575 0.8017  0.10
Ba 0.7425 0.7425 0.1983  0.10
Ba 0.9347 0.6136 0.8035  0.09
Ba 0.0653 0.3864 0.1965  0.09
I 0.8304 0.1696 0.5000  0.00
I 0.1696 0.8304 0.5000  0.00
I 0.5000 0.5000 0.5000  0.00
S 0.6667 0.3333 0.0000  0.00
S 0.3333 0.6667 0.0000  0.00
Ir 0.0000 0.0000 0.0000  -0.04

Computed properties:
VASP energy: -4.19 eV per atom
Space-group type: C2/m, No. 12
Fermi-level density of states: 6.670 states/eV/f.u.



[2]
VASP calculation (GGA-PBE) on a geometry-optimized BaSbIrI2 structure.

a b c (Å): 5.7094 5.1371 5.7094
angles (deg): 90.00 90.00 90.00
Fractional positions:
I 0.5000 0.0000 0.0000
I 0.0000 0.0000 0.5000
Ir 0.0000 0.0000 0.0000
Sb 0.0000 0.5000 0.0000
Ba 0.5000 0.5000 0.5000

Computed properties:
Polymorph energy (0 for the lowest one): 0.0 kJ/mol of formula units
Space-group type: P4/mmm, No. 123
Fermi-level density of states: 2.967 states/eV/f.u.



[3]
VASP calculation (GGA-PBE) on a geometry-optimized BaSb2IrI structure.

a b c (Å): 5.2221 5.2221 5.9394
angles (deg): 90.00 90.00 90.00
Fractional positions:
Sb 0.0000 0.5000 0.0000
Sb 0.5000 0.0000 0.0000
Ir 0.0000 0.0000 0.0000
I 0.0000 0.0000 0.5000
Ba 0.5000 0.5000 0.5000

Computed properties:
Polymorph energy (0 for the lowest one): 0.0 kJ/mol of formula units
Space-group type: P4/mmm, No. 123
Fermi-level density of states: 4.652 states/eV/f.u.



[4]
VASP calculation (GGA-PBE) on a geometry-optimized BaSbIrI2 structure.

a b c (Å): 6.5324 6.5324 6.9807
angles (deg): 90.00 90.00 90.00
Each line ends with the local moment (μB).
Fractional positions:
Sb 0.0000 0.0000 0.5000  0.08
Ba 0.0000 0.0000 0.0000  0.01
I 0.5000 0.0000 0.0000  0.04
I 0.0000 0.5000 0.0000  0.04
Ir 0.5000 0.5000 0.5000  2.48

Computed properties:
Polymorph energy (0 for the lowest one): 720.0 kJ/mol of formula units
Space-group type: P4/mmm, No. 123
Fermi-level density of states: 17.402 states/eV/f.u.



[5]
VASP calculation (GGA-PBE) on a geometry-optimized BaSb2IrI structure.

a b c (Å): 6.6042 6.6042 6.4710
angles (deg): 90.00 90.00 90.00
Each line ends with the local moment (μB).
Fractional positions:
Sb 0.0000 0.5000 0.0000  0.41
Sb 0.5000 0.0000 0.0000  0.41
Ba 0.0000 0.0000 0.0000  0.05
I 0.0000 0.0000 0.5000  0.11
Ir 0.5000 0.5000 0.5000  2.37

Computed properties:
Polymorph energy (0 for the lowest one): 895.3 kJ/mol of formula units
Space-group type: P4/mmm, No. 123
Fermi-level density of states: 9.671 states/eV/f.u.



[6]
VASP calculation (GGA-PBE) on a geometry-optimized Ba2SiIrI structure.

a b c (Å): 6.2491 6.2491 4.5863
angles (deg): 90.00 90.00 90.00
Fractional positions:
I 0.5000 0.5000 0.5000
Ba 0.0000 0.5000 0.0000
Ba 0.5000 0.0000 0.0000
Ir 0.0000 0.0000 0.0000
Si 0.0000 0.0000 0.5000

Computed properties:
VASP energy: -4.74 eV per atom
Space-group type: P4/mmm, No. 123
Fermi-level density of states: 2.395 states/eV/f.u.



[7]
VASP calculation (GGA-PBE) on a geometry-optimized Ba2SrIrI structure.

a b c (Å): 6.1467 6.1467 5.9037
angles (deg): 90.00 90.00 90.00
Fractional positions:
I 0.5000 0.5000 0.5000
Ir 0.0000 0.0000 0.0000
Ba 0.0000 0.5000 0.0000
Ba 0.5000 0.0000 0.0000
Sr 0.0000 0.0000 0.5000

Computed properties:
Polymorph energy (0 for the lowest one): 0.0 kJ/mol of formula units
Space-group type: P4/mmm, No. 123
Fermi-level density of states: 4.828 states/eV/f.u.



[8]
VASP calculation (GGA-PBE) on a geometry-optimized Ba2SrIrI structure.

a b c (Å): 6.0716 5.8676 6.0716
angles (deg): 90.00 90.00 90.00
Fractional positions:
Sr 0.5000 0.5000 0.5000
Ir 0.0000 0.0000 0.0000
I 0.0000 0.5000 0.0000
Ba 0.0000 0.0000 0.5000
Ba 0.5000 0.0000 0.0000

Computed properties:
Polymorph energy (0 for the lowest one): 201.6 kJ/mol of formula units
Space-group type: P4/mmm, No. 123
Fermi-level density of states: 4.451 states/eV/f.u.



[9]
VASP calculation (GGA-PBE) on a geometry-optimized BaSr2IrI structure.

a b c (Å): 5.8922 5.8922 6.1435
angles (deg): 90.00 90.00 90.00
Fractional positions:
Ba 0.0000 0.0000 0.5000
Ir 0.0000 0.0000 0.0000
Sr 0.0000 0.5000 0.0000
Sr 0.5000 0.0000 0.0000
I 0.5000 0.5000 0.5000

Computed properties:
VASP energy: -3.61 eV per atom
Space-group type: P4/mmm, No. 123
Fermi-level density of states: 4.269 states/eV/f.u.



[10]
VASP calculation (GGA-PBE) on a geometry-optimized Ba6Te2IrI3 structure.

a b c (Å): 8.5876 8.5876 8.8095
angles (deg): 99.47 99.47 119.72
Each line ends with the local moment (μB).
Fractional positions:
I 0.5000 0.5000 0.5000  0.00
I 0.8238 0.1762 0.5000  0.01
I 0.1762 0.8238 0.5000  0.01
Ba 0.2281 0.2281 0.7851  0.10
Ba 0.3681 0.0695 0.2088  0.09
Ba 0.0695 0.3681 0.2088  0.09
Ba 0.7719 0.7719 0.2149  0.10
Ba 0.9305 0.6319 0.7912  0.09
Ba 0.6319 0.9305 0.7912  0.09
Te 0.6656 0.3344 0.0000  0.00
Te 0.3344 0.6656 0.0000  0.00
Ir 0.0000 0.0000 0.0000  -0.05

Computed properties:
VASP energy: -3.94 eV per atom
Space-group type: C2/m, No. 12
Fermi-level density of states: 7.865 states/eV/f.u.



[11]
VASP calculation (GGA-PBE) on a geometry-optimized BaTl2IrI structure.

a b c (Å): 5.3264 5.3264 6.1630
angles (deg): 90.00 90.00 90.00
Fractional positions:
Ir 0.0000 0.0000 0.0000
Tl 0.0000 0.5000 0.0000
Tl 0.5000 0.0000 0.0000
I 0.5000 0.5000 0.5000
Ba 0.0000 0.0000 0.5000

Computed properties:
VASP energy: -3.94 eV per atom
Space-group type: P4/mmm, No. 123
Fermi-level density of states: 0.847 states/eV/f.u.



[12]
VASP calculation (GGA-PBE) on a geometry-optimized Ba2ZnIrI structure.

a b c (Å): 6.0787 6.0787 4.9014
angles (deg): 90.00 90.00 90.00
Fractional positions:
Zn 0.0000 0.0000 0.5000
Ba 0.5000 0.0000 0.0000
Ba 0.0000 0.5000 0.0000
I 0.5000 0.5000 0.5000
Ir 0.0000 0.0000 0.0000

Computed properties:
VASP energy: -3.73 eV per atom
Space-group type: P4/mmm, No. 123
Fermi-level density of states: 2.888 states/eV/f.u.